Entry 1:
{"formula": "Nb3InRh4", "functional": "PBE", "state": "optimized geometry", "e_form_kj_per_mol_atoms": -38, "total_magnetization_mub_per_atom": 0.000, "dos_at_fermi_per_ev_cell": 11.1, "sg": "Pmma (51)", "lattice": [[9.249, 0.000, 0.000], [0.000, 5.796, 0.000], [0.000, 0.000, 4.857]], "species": ["Nb", "Nb", "Nb", "Nb", "Nb", "Nb", "In", "In", "Rh", "Rh", "Rh", "Rh", "Rh", "Rh", "Rh", "Rh"], "fractional_positions": [[0.000, 0.000, 0.000], [0.250, 0.000, 0.381], [0.250, 0.500, 0.390], [0.500, 0.000, 0.000], [0.750, 0.000, 0.619], [0.750, 0.500, 0.610], [0.000, 0.500, 0.000], [0.500, 0.500, 0.000], [0.000, 0.245, 0.500], [0.000, 0.755, 0.500], [0.250, 0.248, 0.871], [0.250, 0.752, 0.871], [0.500, 0.245, 0.500], [0.500, 0.755, 0.500], [0.750, 0.248, 0.129], [0.750, 0.752, 0.129]]}

=====

Entry 2:
{"formula": "Nb2InRh3", "functional": "PBE", "state": "optimized geometry", "e_form_kj_per_mol_atoms": -40, "total_magnetization_mub_per_atom": 0.000, "dos_at_fermi_per_ev_cell": 7.8, "sg": "P4/mmm (123)", "lattice": [[2.944, 0.000, 0.000], [0.000, 2.944, 0.000], [0.000, 0.000, 11.339]], "species": ["Nb", "Nb", "In", "Rh", "Rh", "Rh"], "fractional_positions": [[0.000, 0.000, 0.167], [0.000, 0.000, 0.833], [0.000, 0.000, 0.500], [0.500, 0.500, 0.000], [0.500, 0.500, 0.329], [0.500, 0.500, 0.671]]}

=====

Entry 3:
{"formula": "NbInRh2", "functional": "PBE", "state": "optimized geometry", "e_form_kj_per_mol_atoms": -29, "total_magnetization_mub_per_atom": 0.000, "dos_at_fermi_per_ev_cell": 4.0, "sg": "P4/mmm (123)", "lattice": [[4.701, 0.000, 0.000], [0.000, 4.701, 0.000], [0.000, 0.000, 3.011]], "species": ["Nb", "In", "Rh", "Rh"], "fractional_positions": [[0.000, 0.000, 0.000], [0.500, 0.500, 0.000], [0.000, 0.500, 0.500], [0.500, 0.000, 0.500]]}